The following is a PBE-GGA calculation of crystalline SrCa2Pt2 at its relaxed geometry, from the Alexandria database.

Cell lengths 4.6485, 4.6485, 12.5945 Å; angles 90.00, 90.00, 90.00 degrees
With the nearest neighbours (Å) after each atom.
Space group I4/mmm (No. 139)
Unique sites:
Sr: 0.0000 0.0000 0.0000 [2 per cell]  8 Pt 3.54, 8 Ca 3.91
Ca: 0.0000 0.5000 0.2500 [4 per cell]  4 Pt 2.96, 4 Ca 3.29
Pt: 0.0000 0.0000 0.3951 [4 per cell]  1 Pt 2.64, 4 Ca 2.96

## Properties
Its density is 6.8 g/cm³. As for the energy above the lowest structure with this stoichiometry: 24.8 meV/atom. The density of states at the Fermi level comes out at 2.1 states/eV/cell.

The following is a PBE-GGA calculation of crystalline Sr2Ca2Pt at its relaxed geometry, from the Alexandria database.

Cell lengths 4.3929, 5.9518, 15.3838 Å; angles 80.45, 81.90, 90.00 degrees
With the nearest neighbours (Å) after each atom.
Space group P-1 (No. 2)
Unique sites:
Sr: 0.0446 0.2889 0.4135 [2 per cell]  1 Pt 3.19
Sr: 0.2970 0.2882 0.9071 [2 per cell]  2 Pt 3.07-3.08
Ca: 0.1584 0.1798 0.1828 [2 per cell]  2 Pt 3.06-3.11
Ca: 0.4194 0.2125 0.6598 [2 per cell]  2 Pt 2.88
Pt: 0.1321 0.6613 0.2362 [2 per cell]  4 Ca 2.88-3.11, 3 Sr 3.07-3.19

## Properties
Its density is 3.8 g/cm³. As for the energy above the lowest structure with this stoichiometry: 0.0 meV/atom. The density of states at the Fermi level comes out at 8.6 states/eV/cell.

The following is a PBE-GGA calculation of crystalline SrCa2Pt at its relaxed geometry, from the Alexandria database.

Cell lengths 3.7348, 5.7184, 12.5125 Å; angles 90.00, 90.00, 90.00 degrees
With the nearest neighbours (Å) after each atom.
Space group Immm (No. 71)
Unique sites:
Sr: 0.0000 0.0000 0.0000 [2 per cell]  4 Pt 3.41, 4 Ca 3.62, 2 Sr 3.73
Ca: 0.0000 0.5000 0.1778 [4 per cell]  2 Pt 2.90
Pt: 0.0000 0.0000 0.5000 [2 per cell]  4 Ca 2.90

## Properties
Its density is 4.5 g/cm³. As for the energy above the lowest structure with this stoichiometry: 123.0 meV/atom. The density of states at the Fermi level comes out at 7.0 states/eV/cell.

The following is a PBE-GGA calculation of crystalline SrCa2Pt2 at its relaxed geometry, from the Alexandria database.

Cell lengths 7.9498, 7.9498, 4.1424 Å; angles 90.00, 90.00, 90.00 degrees
With the nearest neighbours (Å) after each atom.
Space group P4/mbm (No. 127)
Unique sites:
Sr: 0.0000 0.0000 0.0000 [2 per cell]  4 Pt 3.14
Ca: 0.1575 0.3425 0.5000 [4 per cell]  6 Pt 3.07-3.19
Pt: 0.1263 0.6263 0.0000 [4 per cell]  1 Pt 2.84, 4 Ca 3.07, 2 Sr 3.14

## Properties
Its density is 7.1 g/cm³. As for the energy above the lowest structure with this stoichiometry: 6.2 meV/atom. The density of states at the Fermi level comes out at 1.9 states/eV/cell.

no.,V (Å³ per cell),DFT formation energy (meV per atom),E (eV/atom)
1,272.2,-753,-4.3059
2,392.6,-405,-3.0861
3,267.2,-472,-3.4037
4,261.8,-771,-4.3246